DFT (PBE) results for a geometry-optimized Tb2PrNd4Ho structure.

abc: 6.288 3.648 12.026
angles: 90.00 100.22 90.00
Space group P2/m (No. 10)
One atom of each set of equivalent atoms:
Tb 0.000 0.000 0.000 [1 per cell]
Tb 0.000 0.500 0.500 [1 per cell]
Pr 0.500 0.000 0.500 [1 per cell]
Nd 0.249 0.500 0.247 [2 per cell]
Nd 0.250 0.000 0.752 [2 per cell]
Ho 0.500 0.500 0.000 [1 per cell]

Output
Final energy   -4.695 eV/atom